(1)
CrNi2Ir | GGA-PBE | relaxed

Calculated values
electronic total energy = -0.5598 Ry/atom
E_form = -10.1 kJ/mol of atoms
crystal system = tetragonal

Structure (CIF):
```
data_CrNi2Ir
_chemical_formula_sum 'Cr1 Ni2 Ir1'
_symmetry_space_group_name_H-M 'P 1'
_symmetry_Int_Tables_number 1
_cell_length_a 4.4650
_cell_length_b 4.4650
_cell_length_c 4.4650
_cell_angle_alpha 131.95
_cell_angle_beta 131.96
_cell_angle_gamma 70.30
loop_
_symmetry_equiv_pos_as_xyz
'x,y,z'
loop_
_atom_site_label
_atom_site_type_symbol
_atom_site_fract_x
_atom_site_fract_y
_atom_site_fract_z
Ir1 Ir 0.2500 0.7500 0.5000
Ni1 Ni 0.0000 0.0000 0.0000
Ni2 Ni 0.7501 0.2500 0.5000
Cr1 Cr 0.5000 0.5000 0.0000
```



(2)
NdTmU | GGA-PBE | relaxed

Calculated values
electronic total energy = -0.4849 Ry/atom
E_form = 23.6 kJ/mol of atoms
crystal system = monoclinic

Structure (CIF):
```
data_NdTmU
_chemical_formula_sum 'Nd2 Tm2 U2'
_symmetry_space_group_name_H-M 'P 1'
_symmetry_Int_Tables_number 1
_cell_length_a 3.6324
_cell_length_b 5.8754
_cell_length_c 8.6407
_cell_angle_alpha 99.86
_cell_angle_beta 102.13
_cell_angle_gamma 90.00
loop_
_symmetry_equiv_pos_as_xyz
'x,y,z'
loop_
_atom_site_label
_atom_site_type_symbol
_atom_site_fract_x
_atom_site_fract_y
_atom_site_fract_z
Nd1 Nd 0.8866 0.6828 0.7733
Nd2 Nd 0.1134 0.3172 0.2267
U1 U 0.7594 0.1501 0.5188
U2 U 0.2406 0.8499 0.4812
Tm1 Tm 0.5723 0.8009 0.1446
Tm2 Tm 0.4277 0.1991 0.8554
```



(3)
Ba3MnAg2S6 | GGA-PBE | relaxed

Calculated values
electronic total energy = -0.3489 Ry/atom
formation energy (no corrections) = -0.963 eV/atom
crystal system = trigonal

Structure (CIF):
```
data_Ba3MnAg2S6
_chemical_formula_sum 'Ba3 Mn1 Ag2 S6'
_symmetry_space_group_name_H-M 'P 1'
_symmetry_Int_Tables_number 1
_cell_length_a 7.0937
_cell_length_b 7.0937
_cell_length_c 7.7128
_cell_angle_alpha 90.00
_cell_angle_beta 90.00
_cell_angle_gamma 120.00
loop_
_symmetry_equiv_pos_as_xyz
'x,y,z'
loop_
_atom_site_label
_atom_site_type_symbol
_atom_site_fract_x
_atom_site_fract_y
_atom_site_fract_z
Ag1 Ag 0.6667 0.3333 0.8459
Ag2 Ag 0.3333 0.6667 0.1541
S1 S 0.6813 0.8406 0.3154
S2 S 0.1594 0.8406 0.3154
S3 S 0.3187 0.1594 0.6846
S4 S 0.8406 0.6813 0.6846
S5 S 0.8406 0.1594 0.6846
S6 S 0.1594 0.3187 0.3154
Mn1 Mn 0.0000 0.0000 0.5000
Ba1 Ba 0.6667 0.3333 0.3768
Ba2 Ba 0.0000 0.0000 0.0000
Ba3 Ba 0.3333 0.6667 0.6232
```



(4)
Na4Tb3InO8 | GGA-PBE | relaxed

Calculated values
electronic total energy = -0.4643 Ry/atom
formation energy (no corrections) = -2.469 eV/atom
crystal system = trigonal

Structure (CIF):
```
data_Na4Tb3InO8
_chemical_formula_sum 'Na4 Tb3 In1 O8'
_symmetry_space_group_name_H-M 'P 1'
_symmetry_Int_Tables_number 1
_cell_length_a 6.8101
_cell_length_b 6.8425
_cell_length_c 6.8110
_cell_angle_alpha 119.83
_cell_angle_beta 120.00
_cell_angle_gamma 90.00
loop_
_symmetry_equiv_pos_as_xyz
'x,y,z'
loop_
_atom_site_label
_atom_site_type_symbol
_atom_site_fract_x
_atom_site_fract_y
_atom_site_fract_z
O1 O 0.2632 0.2895 0.5265
O2 O 0.7368 0.7105 0.4735
O3 O 0.2574 0.2848 0.0212
O4 O 0.7426 0.7152 0.9788
O5 O 0.2362 0.7152 0.9788
O6 O 0.7639 0.2848 0.5277
O7 O 0.7638 0.2848 0.0212
O8 O 0.2361 0.7152 0.4723
Na1 Na 0.5000 0.0000 0.5000
Na2 Na 0.0000 0.0000 0.5000
Na3 Na 0.0000 0.0000 0.0000
Na4 Na 0.5000 0.0000 0.0000
In1 In 0.0000 0.5000 0.0000
Tb1 Tb 0.5000 0.5000 0.5000
Tb2 Tb 0.0000 0.5000 0.5000
Tb3 Tb 0.5000 0.5000 0.0000
```



(5)
MnTlBrCl2 | GGA-PBE | relaxed

Calculated values
electronic total energy = -0.3182 Ry/atom
energy relative to the lowest polymorph listed for this composition = 0.0 meV per atom
formation energy (no corrections) = -0.949 eV/atom
crystal system = tetragonal

Structure (CIF):
```
data_MnTlBrCl2
_chemical_formula_sum 'Mn1 Tl1 Br1 Cl2'
_symmetry_space_group_name_H-M 'P 1'
_symmetry_Int_Tables_number 1
_cell_length_a 5.0182
_cell_length_b 5.0182
_cell_length_c 5.4487
_cell_angle_alpha 90.00
_cell_angle_beta 90.00
_cell_angle_gamma 90.00
loop_
_symmetry_equiv_pos_as_xyz
'x,y,z'
loop_
_atom_site_label
_atom_site_type_symbol
_atom_site_fract_x
_atom_site_fract_y
_atom_site_fract_z
Cl1 Cl 0.5000 0.0000 0.0000
Cl2 Cl 0.0000 0.5000 0.0000
Br1 Br 0.0000 0.0000 0.5000
Mn1 Mn 0.0000 0.0000 0.0000
Tl1 Tl 0.5000 0.5000 0.5000
```